The following is a PBE with a Hubbard U calculation of a relaxed Li24MnCr11O36 crystal, from Alexandria via LeMat-Bulk.

Cell and atoms, written as extended XYZ:
```
72
Lattice="7.608 -4.337 0.000 7.608 4.337 0.000 -6.615 0.000 9.615" Properties=species:S:1:pos:R:3 pbc="T T T"
Li 7.608 4.335 0.000
Li -2.467 1.408 7.210
Li 5.940 4.326 2.424
Li 2.661 4.326 7.191
Li 0.872 1.416 2.414
Li 0.876 -1.354 2.403
Li -2.399 -1.351 7.222
Li 0.103 0.024 7.220
Li 1.764 0.022 4.810
Li -1.550 0.000 9.603
Li 3.442 0.017 2.394
Li 2.621 1.378 7.202
Li 5.980 1.378 2.413
Li 5.915 -1.384 2.406
Li 2.685 -1.384 7.210
Li 5.158 0.017 7.222
Li 6.837 0.022 4.806
Li 8.497 0.024 2.396
Li 10.150 0.000 0.013
Li 7.729 1.416 7.202
Li 11.068 1.408 2.405
Li 10.999 -1.351 2.393
Li 7.724 -1.354 7.213
Li 4.300 -4.299 4.808
Mn 4.300 -1.428 4.808
Cr 1.747 2.868 4.813
Cr 5.014 2.838 0.015
Cr 7.608 1.530 0.000
Cr 4.300 1.522 4.808
Cr 6.853 2.868 4.802
Cr 3.586 2.838 9.601
Cr 7.608 -1.381 0.000
Cr 1.794 -2.843 4.814
Cr 5.153 -2.908 0.010
Cr 6.807 -2.843 4.801
Cr 3.447 -2.908 9.605
O 4.140 1.558 1.069
O 0.884 1.596 5.895
O -0.674 1.622 8.524
O 2.625 1.607 3.718
O -0.062 0.018 3.713
O -3.389 -0.027 8.501
O -1.464 0.022 5.898
O 1.847 0.028 1.099
O 6.730 2.775 1.090
O 3.426 2.768 5.901
O 5.175 2.768 3.715
O 1.871 2.775 8.525
O 9.274 1.622 1.092
O 5.976 1.607 5.897
O 7.716 1.596 3.721
O 1.710 0.037 8.516
O 5.009 0.017 3.719
O 6.890 0.037 1.099
O 4.461 1.558 8.547
O 3.591 0.017 5.896
O 4.216 -1.557 1.066
O 0.910 -1.565 5.893
O -0.588 -1.491 8.535
O 2.672 -1.535 3.743
O 6.694 -2.789 1.073
O 3.441 -2.771 5.894
O 9.188 -1.491 1.081
O 6.754 0.028 8.516
O 5.159 -2.771 3.721
O 10.064 0.022 3.717
O 5.929 -1.535 5.872
O 1.907 -2.789 8.542
O 8.662 0.018 5.903
O 11.989 -0.027 1.114
O 7.691 -1.565 3.723
O 4.384 -1.557 8.550
```

Calculated volume, Å³ per cell: 634.5
Total energy, hartree per atom: -0.22991
Mass density, g/cm3: 3.6
Size of the total moment, μB per formula unit: 25.0
Space group: C2